Entry P
Ca2LaMgCu: optimized geometry, PBE.

```
Ca2LaMgCu
1.0
-2.009 -4.832 3.170
3.946 0.366 3.058
-3.183 3.726 3.662
Ca La Mg Cu
2 1 1 1
direct
0.500 0.000 0.000 Ca
0.000 0.000 0.500 Ca
0.000 0.000 0.000 La
0.500 0.500 0.500 Mg
0.000 0.500 0.000 Cu
```

Values from the calculation:
The total magnetic moment is 0.00 μB per formula unit. As for the space group: P4/mmm. As for the density of states at the Fermi level: 0.918 states/eV per atom.


Entry Q
Ca2LaMgCu: optimized geometry, PBE.

```
Ca2LaMgCu
1.0
5.628 0.000 0.000
0.000 5.628 0.000
0.000 0.000 5.487
Ca Cu Mg La
2 1 1 1
direct
0.500 0.000 0.000 Ca
0.000 0.500 0.000 Ca
0.000 0.000 0.000 Cu
0.500 0.500 0.500 Mg
0.000 0.000 0.500 La
```

Values from the calculation:
The total magnetic moment is 0.51 μB per formula unit. As for the space group: P4/mmm. As for the density of states at the Fermi level: 1.229 states/eV per atom.


Entry R
Ca2LaMgCu: optimized geometry, PBE.

```
Ca2LaMgCu
1.0
-2.118 4.840 1.585
-4.547 -1.023 -2.949
-2.164 -2.301 4.135
La Ca Cu Mg
1 2 1 1
direct
0.500 0.500 0.500 La
0.500 0.000 0.000 Ca
0.000 0.500 0.000 Ca
0.000 0.000 0.000 Cu
0.000 0.000 0.500 Mg
```

Values from the calculation:
The total magnetic moment is 0.00 μB per formula unit. As for the space group: P4/mmm. As for the density of states at the Fermi level: 0.870 states/eV per atom.


Most stable one: entry Q, least stable one: entry P.


Entry P
CaLaMg2Cu: optimized geometry, PBE.

```
CaLaMg2Cu
1.0
-0.973 -2.364 4.563
2.084 -4.524 -1.900
4.715 1.437 1.750
Cu Mg La Ca
1 2 1 1
direct
0.000 0.000 0.000 Cu
0.500 0.000 0.000 Mg
0.000 0.000 0.500 Mg
0.000 0.500 0.000 La
0.500 0.500 0.500 Ca
```

Values from the calculation:
The total magnetic moment is 0.00 μB per formula unit. As for the space group: P4/mmm. As for the density of states at the Fermi level: 0.948 states/eV per atom.


Entry Q
CaLaMg2Cu: optimized geometry, PBE.

```
CaLaMg2Cu
1.0
5.100 0.000 0.000
0.000 5.100 0.000
0.000 0.000 5.341
La Mg Ca Cu
1 2 1 1
direct
0.500 0.500 0.500 La
0.500 0.000 0.000 Mg
0.000 0.500 0.000 Mg
0.000 0.000 0.500 Ca
0.000 0.000 0.000 Cu
```

Values from the calculation:
The total magnetic moment is 0.00 μB per formula unit. As for the space group: P4/mmm. As for the density of states at the Fermi level: 0.839 states/eV per atom.


Most stable one: entry P, least stable one: entry Q.


Entry P
NaCa2LaCu: optimized geometry, PBE.

```
NaCa2LaCu
1.0
-5.522 -1.615 -0.602
1.641 -4.313 -3.488
0.501 -3.346 4.375
La Na Cu Ca
1 1 1 2
direct
0.000 0.000 0.500 La
0.500 0.500 0.500 Na
0.000 0.000 0.000 Cu
0.500 0.000 0.000 Ca
0.000 0.500 0.000 Ca
```

Values from the calculation:
The total magnetic moment is 0.00 μB per formula unit. As for the space group: P4/mmm. As for the density of states at the Fermi level: 0.958 states/eV per atom.


Entry Q
NaCa2LaCu: optimized geometry, PBE.

```
NaCa2LaCu
1.0
5.875 0.000 0.000
0.000 4.893 0.000
0.000 0.000 5.875
La Ca Cu Na
1 2 1 1
direct
0.500 0.500 0.500 La
0.000 0.000 0.500 Ca
0.500 0.000 0.000 Ca
0.000 0.500 0.000 Cu
0.000 0.000 0.000 Na
```

Values from the calculation:
The total magnetic moment is 0.00 μB per formula unit. As for the space group: P4/mmm. As for the density of states at the Fermi level: 1.778 states/eV per atom.


Most stable one: entry P, least stable one: entry Q.